No. 1
A plane-wave DFT calculation with GGA-PBEsol was carried out for LiNb3InCl9 after structural relaxation.

Lattice parameters (Å, degrees): 9.1938 9.2462 9.2518 119.15 105.01 96.98
Atoms (fractional coordinates):
Li 0.1175 0.0478 0.1903
Li 0.8825 0.9522 0.8097
Nb 0.3562 0.2962 0.9784
Nb 0.3574 0.4282 0.7505
Nb 0.3669 0.6559 0.1099
Nb 0.6331 0.3441 0.8901
Nb 0.6426 0.5718 0.2495
Nb 0.6438 0.7038 0.0216
In 0.1523 0.7295 0.5083
In 0.8477 0.2705 0.4917
Cl 0.1631 0.1720 0.6775
Cl 0.1659 0.3383 0.4369
Cl 0.1680 0.0326 0.9421
Cl 0.1748 0.4425 0.1028
Cl 0.1751 0.5993 0.8334
Cl 0.1986 0.8458 0.2523
Cl 0.4865 0.0760 0.8450
Cl 0.4897 0.2352 0.5777
Cl 0.4992 0.3448 0.2687
Cl 0.5008 0.6552 0.7313
Cl 0.5103 0.7648 0.4223
Cl 0.5135 0.9240 0.1550
Cl 0.8014 0.1542 0.7477
Cl 0.8249 0.4007 0.1666
Cl 0.8252 0.5575 0.8972
Cl 0.8320 0.9674 0.0579
Cl 0.8341 0.6617 0.5631
Cl 0.8369 0.8280 0.3225

Calculated values
Energy relative to the elements, uncorrected: -1297.4 meV/atom
V: 22.65 Å³/atom

=====

No. 2
A plane-wave DFT calculation with GGA-PBEsol was carried out for Rb2LiInCl6 after structural relaxation.

Lattice parameters (Å, degrees): 7.1349 7.1349 7.1349 60.00 60.00 60.00
Atoms (fractional coordinates):
Rb 0.2500 0.2500 0.2500
Rb 0.7500 0.7500 0.7500
Li 0.0000 0.0000 0.0000
In 0.5000 0.5000 0.5000
Cl 0.2512 0.2512 0.7488
Cl 0.2512 0.7488 0.2512
Cl 0.2512 0.7488 0.7488
Cl 0.7488 0.2512 0.2512
Cl 0.7488 0.2512 0.7488
Cl 0.7488 0.7488 0.2512

Calculated values
Energy relative to the elements, uncorrected: -1625.5 meV/atom
V: 25.68 Å³/atom
Density of states at the Fermi level: 0.00 states/eV per atom

=====

- energy relative to the elements, uncorrected of number 2 (Rb2LiInCl6)?
  -1625.5 meV/atom

=====

- energy relative to the elements, uncorrected of number 1 (LiNb3InCl9)?
  -1297.4 meV/atom